(1)
# Pm6TlSn2Te3 PBE relaxed
# Formation energy (no corrections), eV/atom: -1.03
# Total moment, μB/cell: 0.0
data_Pm6TlSn2Te3
_cell_length_a 4.4656
_cell_length_b 9.0595
_cell_length_c 10.1465
_cell_angle_alpha 105.71
_cell_angle_beta 102.71
_cell_angle_gamma 90.00
_space_group_name_H-M_alt 'P 1'
_space_group_IT_number 1
_space_group_name_Hall 'P 1'
loop_
_atom_site_label
_atom_site_fract_x
_atom_site_fract_y
_atom_site_fract_z
Pm1 0.6693 0.5748 0.3386
Te1 0.1674 0.8302 0.3348
Te2 0.5000 0.5000 0.0000
Tl1 0.5000 0.0000 0.0000
Pm2 0.0000 0.7474 0.9999
Te3 0.8326 0.1698 0.6652
Sn1 0.1648 0.3280 0.3296
Pm3 0.0000 0.2526 0.0001
Pm4 0.3307 0.4252 0.6614
Sn2 0.8352 0.6720 0.6704
Pm5 0.3330 0.9145 0.6660
Pm6 0.6670 0.0855 0.3340

(2)
# Pm6Tl2SnTe3 PBE relaxed
# Formation energy (no corrections), eV/atom: -0.96
# Total moment, μB/cell: 0.0
data_Pm6Tl2SnTe3
_cell_length_a 4.4966
_cell_length_b 8.9878
_cell_length_c 10.4154
_cell_angle_alpha 111.93
_cell_angle_beta 102.47
_cell_angle_gamma 90.00
_space_group_name_H-M_alt 'P 1'
_space_group_IT_number 1
_space_group_name_Hall 'P 1'
loop_
_atom_site_label
_atom_site_fract_x
_atom_site_fract_y
_atom_site_fract_z
Te1 0.8357 0.1173 0.6715
Tl1 0.8109 0.5885 0.6218
Pm1 0.9924 0.7516 0.9848
Sn1 0.5000 0.0000 0.0000
Tl2 0.1891 0.4115 0.3782
Te2 0.5000 0.5000 0.0000
Pm2 0.6672 0.1335 0.3343
Pm3 0.3395 0.3601 0.6789
Pm4 0.3328 0.8665 0.6657
Te3 0.1643 0.8827 0.3285
Pm5 0.0076 0.2484 0.0152
Pm6 0.6605 0.6399 0.3211

(3)
# Pm4TlSnTe2 PBE relaxed
# Formation energy (no corrections), eV/atom: -0.99
# Total moment, μB/cell: 0.0
data_Pm4TlSnTe2
_cell_length_a 4.4453
_cell_length_b 7.5285
_cell_length_c 8.0763
_cell_angle_alpha 108.82
_cell_angle_beta 90.00
_cell_angle_gamma 90.00
_space_group_name_H-M_alt 'P 1'
_space_group_IT_number 1
_space_group_name_Hall 'P 1'
loop_
_atom_site_label
_atom_site_fract_x
_atom_site_fract_y
_atom_site_fract_z
Tl1 0.5000 0.5000 0.0000
Pm1 0.0000 0.7522 0.2512
Pm2 0.0000 0.2478 0.7488
Sn1 0.0000 0.0000 0.0000
Pm3 0.5000 0.7548 0.7542
Pm4 0.5000 0.2452 0.2458
Te1 0.0000 0.5000 0.5000
Te2 0.5000 0.0000 0.5000

(4)
# Pm2Tl3SnTe6 PBE relaxed
# Formation energy (no corrections), eV/atom: -0.78
# Total moment, μB/cell: 0.0
data_Pm2Tl3SnTe6
_cell_length_a 7.9042
_cell_length_b 7.9042
_cell_length_c 8.3748
_cell_angle_alpha 98.99
_cell_angle_beta 98.99
_cell_angle_gamma 120.02
_space_group_name_H-M_alt 'P 1'
_space_group_IT_number 1
_space_group_name_Hall 'P 1'
loop_
_atom_site_label
_atom_site_fract_x
_atom_site_fract_y
_atom_site_fract_z
Te1 0.4051 0.0723 0.2190
Tl1 0.1698 0.8302 0.5000
Te2 0.7413 0.7413 0.2211
Te3 0.9277 0.5949 0.7810
Sn1 0.0000 0.0000 0.0000
Te4 0.2587 0.2587 0.7789
Te5 0.0723 0.4051 0.2190
Pm1 0.3340 0.6660 0.0000
Tl2 0.8302 0.1698 0.5000
Te6 0.5949 0.9277 0.7810
Pm2 0.6660 0.3340 0.0000
Tl3 0.5000 0.5000 0.5000

(5)
# PmTlSnTe3 PBE relaxed
# Formation energy (no corrections), eV/atom: -0.76
# Total moment, μB/cell: 0.0
data_PmTlSnTe3
_cell_length_a 4.4489
_cell_length_b 9.9569
_cell_length_c 10.2626
_cell_angle_alpha 101.34
_cell_angle_beta 90.00
_cell_angle_gamma 90.00
_space_group_name_H-M_alt 'P 1'
_space_group_IT_number 1
_space_group_name_Hall 'P 1'
loop_
_atom_site_label
_atom_site_fract_x
_atom_site_fract_y
_atom_site_fract_z
Tl1 0.7500 0.8155 0.8058
Pm1 0.2500 0.6473 0.1583
Sn1 0.7500 0.8737 0.4575
Sn2 0.2500 0.1263 0.5425
Tl2 0.2500 0.1845 0.1942
Te1 0.2500 0.6777 0.4709
Te2 0.2500 0.5770 0.8465
Te3 0.2500 0.1205 0.8295
Pm2 0.7500 0.3527 0.8417
Te4 0.7500 0.4230 0.1535
Te5 0.7500 0.3223 0.5291
Te6 0.7500 0.8795 0.1705

(6)
# Pm3Tl4SnTe8 PBE relaxed
# Formation energy (no corrections), eV/atom: -0.86
# Total moment, μB/cell: 0.0
data_Pm3Tl4SnTe8
_cell_length_a 9.1099
_cell_length_b 9.5926
_cell_length_c 9.1107
_cell_angle_alpha 118.37
_cell_angle_beta 120.00
_cell_angle_gamma 90.00
_space_group_name_H-M_alt 'P 1'
_space_group_IT_number 1
_space_group_name_Hall 'P 1'
loop_
_atom_site_label
_atom_site_fract_x
_atom_site_fract_y
_atom_site_fract_z
Te1 0.2391 0.7185 0.4783
Tl1 0.0000 0.0000 0.0000
Pm1 0.0000 0.5000 0.5000
Te2 0.7609 0.2816 0.0204
Tl2 0.5000 0.0000 0.5000
Te3 0.7609 0.2815 0.5217
Tl3 0.5000 0.0000 0.0000
Te4 0.2593 0.2780 0.5185
Pm2 0.5000 0.5000 0.0000
Te5 0.2391 0.7184 0.9796
Tl4 0.0000 0.0000 0.5000
Sn1 0.0000 0.5000 0.0000
Te6 0.7407 0.7220 0.4815
Pm3 0.5000 0.5000 0.5000
Te7 0.2595 0.2816 0.0204
Te8 0.7405 0.7184 0.9796

(7)
# PmTlSn2Te4 PBE relaxed
# Formation energy (no corrections), eV/atom: -0.62
# Total moment, μB/cell: 0.0
data_PmTlSn2Te4
_cell_length_a 4.5584
_cell_length_b 7.9390
_cell_length_c 7.9912
_cell_angle_alpha 71.48
_cell_angle_beta 90.00
_cell_angle_gamma 90.00
_space_group_name_H-M_alt 'P 1'
_space_group_IT_number 1
_space_group_name_Hall 'P 1'
loop_
_atom_site_label
_atom_site_fract_x
_atom_site_fract_y
_atom_site_fract_z
Sn1 0.5000 0.0000 0.5000
Te1 0.5000 0.2489 0.7371
Te2 0.5000 0.7511 0.2629
Sn2 0.0000 0.0000 0.0000
Te3 0.0000 0.7591 0.7307
Te4 0.0000 0.2409 0.2693
Tl1 0.5000 0.5000 0.0000
Pm1 0.0000 0.5000 0.5000

(8)
# PmTmSnTe PBE relaxed
# Formation energy (no corrections), eV/atom: -1.04
# Total moment, μB/cell: 0.0
data_PmTmSnTe
_cell_length_a 4.4189
_cell_length_b 4.4189
_cell_length_c 7.6852
_cell_angle_alpha 73.29
_cell_angle_beta 73.29
_cell_angle_gamma 60.00
_space_group_name_H-M_alt 'P 1'
_space_group_IT_number 1
_space_group_name_Hall 'P 1'
loop_
_atom_site_label
_atom_site_fract_x
_atom_site_fract_y
_atom_site_fract_z
Pm1 0.9485 0.9485 0.1546
Sn1 0.6975 0.6975 0.9075
Tm1 0.4400 0.4400 0.6799
Te1 0.1904 0.1904 0.4287

Across the entries above, E takes the values -0.1857; -0.1783; -0.1816; -0.1496; -0.1539; -0.1529; -0.1501; -0.1885 hartree per atom, respectively.